A:
The following is a PBE calculation of Tl2CrAg after structural relaxation, from Alexandria via LeMat-Bulk.

```
data_Tl2CrAg
_chemical_formula_sum 'Tl2 Cr1 Ag1'
_cell_length_a 3.417
_cell_length_b 5.004
_cell_length_c 5.167
_cell_angle_alpha 90.00
_cell_angle_beta 90.00
_cell_angle_gamma 90.00
_symmetry_space_group_name_H-M 'P m m 2'
_symmetry_Int_Tables_number 25
loop_
_symmetry_equiv_pos_as_xyz
'x,y,z'
'-x,-y,z'
'-x,y,z'
'x,-y,z'
loop_
_atom_site_label
_atom_site_type_symbol
_atom_site_fract_x
_atom_site_fract_y
_atom_site_fract_z
Tl1 Tl 0.000 0.000 0.000
Tl2 Tl 0.000 0.500 0.403
Cr1 Cr 0.500 0.000 0.517
Ag1 Ag 0.500 0.500 0.881
```


B:
The following is a PBE calculation of Tl2CrAg after structural relaxation, from Alexandria via LeMat-Bulk.

```
data_Tl2CrAg
_chemical_formula_sum 'Tl6 Cr3 Ag3'
_cell_length_a 3.3656
_cell_length_b 3.3656
_cell_length_c 28.3862
_cell_angle_alpha 90.00
_cell_angle_beta 90.00
_cell_angle_gamma 120.00
_symmetry_space_group_name_H-M 'R 3 m'
_symmetry_Int_Tables_number 160
_symmetry_space_group_name_Hall 'R 3 -2"'
loop_
_atom_site_label
_atom_site_type_symbol
_atom_site_fract_x
_atom_site_fract_y
_atom_site_fract_z
Tl1 Tl 0.0000 0.0000 0.0000
Tl2 Tl 0.0000 0.0000 0.2355
Cr1 Cr 0.0000 0.0000 0.4906
Ag1 Ag 0.0000 0.0000 0.7529
```


Computed stability ranking, most favorable first: A, B


A:
The following is a PBE calculation of Tm2CrAg after structural relaxation, from Alexandria via LeMat-Bulk.

```
data_Tm2CrAg
_chemical_formula_sum 'Tm2 Cr1 Ag1'
_cell_length_a 3.424
_cell_length_b 3.424
_cell_length_c 7.488
_cell_angle_alpha 90.00
_cell_angle_beta 90.00
_cell_angle_gamma 90.00
_symmetry_space_group_name_H-M 'P 4/m m m'
_symmetry_Int_Tables_number 123
_symmetry_space_group_name_Hall '-P 4 2'
loop_
_atom_site_label
_atom_site_type_symbol
_atom_site_fract_x
_atom_site_fract_y
_atom_site_fract_z
Tm1 Tm 0.000 0.000 0.233
Cr1 Cr 0.500 0.500 0.000
Ag1 Ag 0.500 0.500 0.500
```


B:
The following is a PBE calculation of Tm2CrAg after structural relaxation, from Alexandria via LeMat-Bulk.

```
data_Tm2CrAg
_chemical_formula_sum 'Tm8 Cr4 Ag4'
_cell_length_a 7.119
_cell_length_b 7.119
_cell_length_c 7.119
_cell_angle_alpha 90.00
_cell_angle_beta 90.00
_cell_angle_gamma 90.00
_symmetry_space_group_name_H-M 'F m -3 m'
_symmetry_Int_Tables_number 225
_symmetry_space_group_name_Hall '-F 4 2 3'
loop_
_atom_site_label
_atom_site_type_symbol
_atom_site_fract_x
_atom_site_fract_y
_atom_site_fract_z
Tm1 Tm 0.250 0.250 0.250
Cr1 Cr 0.000 0.000 0.000
Ag1 Ag 0.000 0.000 0.500
```


Computed stability ranking, most favorable first: A, B


A:
The following is a PBE calculation of VCr2Ag after structural relaxation, from Alexandria via LeMat-Bulk.

```
data_VCr2Ag
_chemical_formula_sum 'V4 Cr8 Ag4'
_cell_length_a 3.672
_cell_length_b 3.672
_cell_length_c 17.872
_cell_angle_alpha 90.00
_cell_angle_beta 90.00
_cell_angle_gamma 90.00
_symmetry_space_group_name_H-M 'I -4 2 d'
_symmetry_Int_Tables_number 122
_symmetry_space_group_name_Hall 'I -4 2bw'
loop_
_atom_site_label
_atom_site_type_symbol
_atom_site_fract_x
_atom_site_fract_y
_atom_site_fract_z
V1 V 0.000 0.000 0.000
Cr1 Cr 0.188 0.250 0.125
Ag1 Ag 0.000 0.000 0.500
```


B:
The following is a PBE calculation of VCr2Ag after structural relaxation, from Alexandria via LeMat-Bulk.

```
data_VCr2Ag
_chemical_formula_sum 'V4 Cr8 Ag4'
_cell_length_a 6.175
_cell_length_b 6.175
_cell_length_c 6.175
_cell_angle_alpha 90.00
_cell_angle_beta 90.00
_cell_angle_gamma 90.00
_symmetry_space_group_name_H-M 'F m -3 m'
_symmetry_Int_Tables_number 225
_symmetry_space_group_name_Hall '-F 4 2 3'
loop_
_atom_site_label
_atom_site_type_symbol
_atom_site_fract_x
_atom_site_fract_y
_atom_site_fract_z
V1 V 0.000 0.000 0.000
Cr1 Cr 0.250 0.250 0.250
Ag1 Ag 0.000 0.000 0.500
```


Computed stability ranking, most favorable first: B, A


A:
The following is a PBE calculation of Cr2AgW after structural relaxation, from Alexandria via LeMat-Bulk.

```
data_Cr2AgW
_chemical_formula_sum 'Cr4 Ag2 W2'
_cell_length_a 3.023
_cell_length_b 4.363
_cell_length_c 8.757
_cell_angle_alpha 90.00
_cell_angle_beta 90.00
_cell_angle_gamma 90.00
_symmetry_space_group_name_H-M 'C m m 2'
_symmetry_Int_Tables_number 35
loop_
_symmetry_equiv_pos_as_xyz
'x,y,z'
'-x,-y,z'
'-x,y,z'
'x,-y,z'
'x+1/2,y+1/2,z'
'-x+1/2,-y+1/2,z'
'-x+1/2,y+1/2,z'
'x+1/2,-y+1/2,z'
loop_
_atom_site_label
_atom_site_type_symbol
_atom_site_fract_x
_atom_site_fract_y
_atom_site_fract_z
Cr1 Cr 0.000 0.000 0.000
Cr2 Cr 0.000 0.500 0.204
Ag1 Ag 0.000 0.500 0.732
W1 W 0.000 0.000 0.447
```


B:
The following is a PBE calculation of Cr2AgW after structural relaxation, from Alexandria via LeMat-Bulk.

```
data_Cr2AgW
_chemical_formula_sum 'Cr2 Ag1 W1'
_cell_length_a 2.876
_cell_length_b 2.876
_cell_length_c 7.047
_cell_angle_alpha 90.00
_cell_angle_beta 90.00
_cell_angle_gamma 90.00
_symmetry_space_group_name_H-M 'P 4 m m'
_symmetry_Int_Tables_number 99
loop_
_symmetry_equiv_pos_as_xyz
'x,y,z'
'-y,x,z'
'-x,-y,z'
'y,-x,z'
'-x,y,z'
'y,x,z'
'x,-y,z'
'-y,-x,z'
loop_
_atom_site_label
_atom_site_type_symbol
_atom_site_fract_x
_atom_site_fract_y
_atom_site_fract_z
Cr1 Cr 0.000 0.000 0.000
Cr2 Cr 0.500 0.500 0.173
Ag1 Ag 0.500 0.500 0.720
W1 W 0.000 0.000 0.418
```


C:
The following is a PBE calculation of Cr2AgW after structural relaxation, from Alexandria via LeMat-Bulk.

```
data_Cr2AgW
_chemical_formula_sum 'Cr2 Ag1 W1'
_cell_length_a 2.669
_cell_length_b 4.277
_cell_length_c 5.378
_cell_angle_alpha 90.00
_cell_angle_beta 100.42
_cell_angle_gamma 90.00
_symmetry_space_group_name_H-M 'P 1 2/m 1'
_symmetry_Int_Tables_number 10
loop_
_symmetry_equiv_pos_as_xyz
'x,y,z'
'-x,-y,-z'
'-x,y,-z'
'x,-y,z'
loop_
_atom_site_label
_atom_site_type_symbol
_atom_site_fract_x
_atom_site_fract_y
_atom_site_fract_z
Cr1 Cr 0.214 0.000 0.194
Ag1 Ag 0.000 0.500 0.500
W1 W 0.500 0.500 0.000
```


Computed stability ranking, most favorable first: A, B, C